First-principles (PBE) data for an optimized crystal structure of Li4Mg3In4, as listed in Alexandria.

Values from the calculation:
energy above the lowest structure with this stoichiometry: 117 meV per atom
uncorrected energy: -24.199 eV/cell

Lattice parameters (Å, degrees): 4.5977 8.3719 8.0671 121.26 106.56 90.00
Fractional coordinates of all 11 atoms:
Li  0.3136  0.1436  0.6271
Li  0.6864  0.5165  0.3729
Li  0.6864  0.8564  0.3729
Li  0.3136  0.4835  0.6271
Mg  0.1146  0.1146  0.2292
Mg  0.8854  0.8854  0.7708
Mg  0.0000  0.5000  0.0000
In  0.2483  0.7483  0.4966
In  0.7517  0.2517  0.5034
In  0.5000  0.8113  0.0000
In  0.5000  0.1887  0.0000